No. 1
Compound: TbSm6Sc3
Source: Alexandria via LeMat-Bulk
Functional: GGA-PBE
Structure: optimized geometry

## Properties
As for the total energy: -202.212 eV for the cell shown. As for the theoretical density: 6.40 g/cm3. Its density of states at the Fermi level is 1.51 states/eV per atom. The distance to the lowest polymorph of the same formula comes out at 0 meV per atom.

Geometry as CIF:
```
data_TbSm6Sc3
_chemical_formula_sum 'Tb4 Sm24 Sc12'
_symmetry_space_group_name_H-M 'C m c 21'
_symmetry_Int_Tables_number 36
_cell_length_a 9.514
_cell_length_b 20.744
_cell_length_c 6.290
_cell_angle_alpha 90.00
_cell_angle_beta 90.00
_cell_angle_gamma 90.00
loop_
_symmetry_equiv_pos_as_xyz
'x,y,z'
'-x,-y,z+1/2'
'-x,y,z'
'x,-y,z+1/2'
'x+1/2,y+1/2,z'
'-x+1/2,-y+1/2,z+1/2'
'-x+1/2,y+1/2,z'
'x+1/2,-y+1/2,z+1/2'
loop_
_atom_site_label
_atom_site_type_symbol
_atom_site_fract_x
_atom_site_fract_y
_atom_site_fract_z
Tb1 Tb 0.000 0.154 0.000
Sm1 Sm 0.000 0.015 0.761
Sm2 Sm 0.000 0.302 0.790
Sm3 Sm 0.176 0.281 0.312
Sm4 Sm 0.179 0.443 0.574
Sc1 Sc 0.000 0.417 0.093
Sc2 Sc 0.168 0.127 0.475
```


No. 2
Compound: Tb2SmSc3
Source: Alexandria via LeMat-Bulk
Functional: GGA-PBE
Structure: optimized geometry

## Properties
As for the total energy: -65.097 eV for the cell shown. As for the theoretical density: 5.88 g/cm3. Its density of states at the Fermi level is 1.61 states/eV per atom.

Geometry as CIF:
```
data_Tb2SmSc3
_chemical_formula_sum 'Tb4 Sm2 Sc6'
_symmetry_space_group_name_H-M 'P 1 21/m 1'
_symmetry_Int_Tables_number 11
_cell_length_a 5.979
_cell_length_b 3.452
_cell_length_c 16.630
_cell_angle_alpha 90.00
_cell_angle_beta 96.91
_cell_angle_gamma 90.00
loop_
_symmetry_equiv_pos_as_xyz
'x,y,z'
'-x,-y,-z'
'-x,y+1/2,-z'
'x,-y+1/2,z'
loop_
_atom_site_label
_atom_site_type_symbol
_atom_site_fract_x
_atom_site_fract_y
_atom_site_fract_z
Tb1 Tb 0.027 0.250 0.333
Tb2 Tb 0.250 0.250 0.000
Sm1 Sm 0.472 0.250 0.667
Sc1 Sc 0.138 0.750 0.166
Sc2 Sc 0.249 0.750 0.500
Sc3 Sc 0.361 0.750 0.835
```


No. 3
Compound: Tb2Sm8Sc3
Source: Alexandria via LeMat-Bulk
Functional: GGA-PBE
Structure: optimized geometry

## Properties
As for the total energy: -126.587 eV for the cell shown. As for the theoretical density: 6.57 g/cm3. Its density of states at the Fermi level is 1.44 states/eV per atom.

Geometry as CIF:
```
data_Tb2Sm8Sc3
_chemical_formula_sum 'Tb4 Sm16 Sc6'
_symmetry_space_group_name_H-M 'C 1 2/m 1'
_symmetry_Int_Tables_number 12
_cell_length_a 19.812
_cell_length_b 7.590
_cell_length_c 5.567
_cell_angle_alpha 90.00
_cell_angle_beta 90.01
_cell_angle_gamma 90.00
loop_
_symmetry_equiv_pos_as_xyz
'x,y,z'
'-x,-y,-z'
'-x,y,-z'
'x,-y,z'
'x+1/2,y+1/2,z'
'-x+1/2,-y+1/2,-z'
'-x+1/2,y+1/2,-z'
'x+1/2,-y+1/2,z'
loop_
_atom_site_label
_atom_site_type_symbol
_atom_site_fract_x
_atom_site_fract_y
_atom_site_fract_z
Tb1 Tb 0.239 0.000 0.499
Sm1 Sm 0.100 0.295 0.500
Sm2 Sm 0.125 0.000 0.000
Sm3 Sm 0.169 0.500 0.000
Sc1 Sc 0.000 0.000 0.500
Sc2 Sc 0.000 0.294 0.000
```


No. 4
Compound: Tb4SmSc3
Source: Alexandria via LeMat-Bulk
Functional: GGA-PBE
Structure: optimized geometry

## Properties
As for the total energy: -81.584 eV for the cell shown. As for the theoretical density: 6.48 g/cm3. Its density of states at the Fermi level is 2.11 states/eV per atom. The distance to the lowest polymorph of the same formula comes out at 144 meV per atom.

Geometry as CIF:
```
data_Tb4SmSc3
_chemical_formula_sum 'Tb8 Sm2 Sc6'
_symmetry_space_group_name_H-M 'C 1 2/m 1'
_symmetry_Int_Tables_number 12
_cell_length_a 13.037
_cell_length_b 11.210
_cell_length_c 3.337
_cell_angle_alpha 90.00
_cell_angle_beta 104.74
_cell_angle_gamma 90.00
loop_
_symmetry_equiv_pos_as_xyz
'x,y,z'
'-x,-y,-z'
'-x,y,-z'
'x,-y,z'
'x+1/2,y+1/2,z'
'-x+1/2,-y+1/2,-z'
'-x+1/2,y+1/2,-z'
'x+1/2,-y+1/2,z'
loop_
_atom_site_label
_atom_site_type_symbol
_atom_site_fract_x
_atom_site_fract_y
_atom_site_fract_z
Tb1 Tb 0.133 0.246 0.134
Sm1 Sm 0.000 0.500 0.000
Sc1 Sc 0.000 0.000 0.500
Sc2 Sc 0.241 0.500 0.740
```


No. 5
Compound: Tb3Sm7Sc
Source: Alexandria via LeMat-Bulk
Functional: GGA-PBE
Structure: optimized geometry

## Properties
As for the total energy: -101.247 eV for the cell shown. As for the theoretical density: 7.09 g/cm3. Its density of states at the Fermi level is 1.38 states/eV per atom. The distance to the lowest polymorph of the same formula comes out at 187 meV per atom.

Geometry as CIF:
```
data_Tb3Sm7Sc
_chemical_formula_sum 'Tb6 Sm14 Sc2'
_symmetry_space_group_name_H-M 'C 1 2/m 1'
_symmetry_Int_Tables_number 12
_cell_length_a 12.677
_cell_length_b 11.286
_cell_length_c 5.794
_cell_angle_alpha 90.00
_cell_angle_beta 117.19
_cell_angle_gamma 90.00
loop_
_symmetry_equiv_pos_as_xyz
'x,y,z'
'-x,-y,-z'
'-x,y,-z'
'x,-y,z'
'x+1/2,y+1/2,z'
'-x+1/2,-y+1/2,-z'
'-x+1/2,y+1/2,-z'
'x+1/2,-y+1/2,z'
loop_
_atom_site_label
_atom_site_type_symbol
_atom_site_fract_x
_atom_site_fract_y
_atom_site_fract_z
Tb1 Tb 0.000 0.000 0.000
Tb2 Tb 0.000 0.204 0.500
Sm1 Sm 0.000 0.500 0.500
Sm2 Sm 0.191 0.211 0.191
Sm3 Sm 0.215 0.000 0.713
Sc1 Sc 0.000 0.500 0.000
```


No. 6
Compound: Tb5Sm2Sc4
Source: Alexandria via LeMat-Bulk
Functional: GGA-PBE
Structure: optimized geometry

## Properties
As for the total energy: -114.733 eV for the cell shown. As for the theoretical density: 6.50 g/cm3. Its density of states at the Fermi level is 1.56 states/eV per atom. The distance to the lowest polymorph of the same formula comes out at 0 meV per atom.

Geometry as CIF:
```
data_Tb5Sm2Sc4
_chemical_formula_sum 'Tb10 Sm4 Sc8'
_symmetry_space_group_name_H-M 'C 1 2/m 1'
_symmetry_Int_Tables_number 12
_cell_length_a 22.455
_cell_length_b 3.567
_cell_length_c 8.633
_cell_angle_alpha 90.00
_cell_angle_beta 109.60
_cell_angle_gamma 90.00
loop_
_symmetry_equiv_pos_as_xyz
'x,y,z'
'-x,-y,-z'
'-x,y,-z'
'x,-y,z'
'x+1/2,y+1/2,z'
'-x+1/2,-y+1/2,-z'
'-x+1/2,y+1/2,-z'
'x+1/2,-y+1/2,z'
loop_
_atom_site_label
_atom_site_type_symbol
_atom_site_fract_x
_atom_site_fract_y
_atom_site_fract_z
Tb1 Tb 0.000 0.000 0.000
Tb2 Tb 0.141 0.500 0.201
Tb3 Tb 0.212 0.500 0.641
Sm1 Sm 0.066 0.000 0.437
Sc1 Sc 0.071 0.500 0.773
Sc2 Sc 0.191 0.000 0.952
```